1.
! La2RhS2, relaxed, DFT PBE; values from VASP
! ΔE_f (raw): -32.81 kcal/mol of atoms
! Calculated volume: 128.7 Å³ per cell
! Final energy: -6.515 eV/atom
! Energy above the most stable polymorph in this dataset: 0.000 eV/f.u.
! Space group: No. 139
&SYSTEM
  ibrav = 0, nat = 5, ntyp = 3
/
ATOMIC_SPECIES
La 138.91 La.upf
Rh 102.91 Rh.upf
S 32.06 S.upf
CELL_PARAMETERS angstrom
-2.833 2.833 4.008
2.833 -2.833 4.008
2.833 2.833 -4.008
ATOMIC_POSITIONS crystal
La 0.250 0.750 0.500
La 0.750 0.250 0.500
Rh 0.000 0.000 0.000
S 0.290 0.290 0.000
S 0.710 0.710 0.000

---

2.
! La5RhS4, relaxed, DFT PBE; values from VASP
! ΔE_f (raw): -42.81 kcal/mol of atoms
! Calculated volume: 256.7 Å³ per cell
! Final energy: -6.706 eV/atom
! Space group: No. 139
&SYSTEM
  ibrav = 0, nat = 10, ntyp = 3
/
ATOMIC_SPECIES
La 138.91 La.upf
Rh 102.91 Rh.upf
S 32.06 S.upf
CELL_PARAMETERS angstrom
-2.087 2.087 14.732
2.087 -2.087 14.732
2.087 2.087 -14.732
ATOMIC_POSITIONS crystal
La 0.000 0.000 0.000
La 0.202 0.202 0.000
La 0.401 0.401 0.000
La 0.599 0.599 0.000
La 0.798 0.798 0.000
Rh 0.500 0.500 0.000
S 0.102 0.102 0.000
S 0.302 0.302 0.000
S 0.698 0.698 0.000
S 0.898 0.898 0.000

---

3.
! LaSbRhS, relaxed, DFT PBE; values from VASP
! ΔE_f (raw): -28.24 kcal/mol of atoms
! Calculated volume: 192.6 Å³ per cell
! Final energy: -6.357 eV/atom
! Space group: No. 129
&SYSTEM
  ibrav = 0, nat = 8, ntyp = 4
/
ATOMIC_SPECIES
La 138.91 La.upf
Sb 121.76 Sb.upf
Rh 102.91 Rh.upf
S 32.06 S.upf
CELL_PARAMETERS angstrom
4.694 0.000 0.000
0.000 4.694 0.000
0.000 0.000 8.742
ATOMIC_POSITIONS crystal
La 0.250 0.250 0.175
La 0.750 0.750 0.825
Sb 0.250 0.250 0.640
Sb 0.750 0.750 0.360
Rh 0.250 0.750 0.500
Rh 0.750 0.250 0.500
S 0.250 0.750 0.000
S 0.750 0.250 0.000

---

4.
! LaTeRhS2, relaxed, DFT PBE; values from VASP
! ΔE_f (raw): 7.63 kcal/mol of atoms
! Calculated volume: 149.7 Å³ per cell
! Final energy: -4.404 eV/atom
! Space group: No. 123
&SYSTEM
  ibrav = 0, nat = 5, ntyp = 4
/
ATOMIC_SPECIES
La 138.91 La.upf
Te 127.60 Te.upf
Rh 102.91 Rh.upf
S 32.06 S.upf
CELL_PARAMETERS angstrom
5.492 0.000 0.000
0.000 5.492 0.000
0.000 0.000 4.964
ATOMIC_POSITIONS crystal
La 0.000 0.000 0.000
Te 0.500 0.500 0.500
Rh 0.000 0.000 0.500
S 0.000 0.500 0.000
S 0.500 0.000 0.000

---

Which of these has the highest final energy? LaTeRhS2

---

Which value of ΔE_f (raw) does entry 1 give? -32.81 kcal/mol of atoms

---

Which value of final energy does entry 4 give? -4.404 eV/atom